[1]
VASP calculation (PBE) on a relaxed CeGeIr2 crystal.

abc: 4.006 4.006 9.692
angles: 90.00 90.00 90.00
Sites, in units of the cell vectors:
1 Ce 0.250 0.250 0.203
2 Ce 0.750 0.750 0.797
3 Ge 0.250 0.250 0.647
4 Ge 0.750 0.750 0.353
5 Ir 0.250 0.250 0.900
6 Ir 0.250 0.750 0.500
7 Ir 0.750 0.250 0.500
8 Ir 0.750 0.750 0.100

Results
crystal system = tetragonal
space-group type = P4/nmm (129)
relative energy among the computed polymorphs = 0.00 eV/f.u.


[2]
VASP calculation (PBE) on a relaxed Ce5Ge5Ir2 crystal.

abc: 7.952 7.952 11.211
angles: 130.36 130.36 31.18
Sites, in units of the cell vectors:
1 Ce 0.000 0.000 0.000
2 Ce 0.296 0.296 0.408
3 Ce 0.376 0.376 0.198
4 Ce 0.624 0.624 0.802
5 Ce 0.704 0.704 0.592
6 Ge 0.000 0.000 0.500
7 Ge 0.052 0.052 0.314
8 Ge 0.302 0.302 0.871
9 Ge 0.698 0.698 0.129
10 Ge 0.948 0.948 0.686
11 Ir 0.390 0.390 0.739
12 Ir 0.610 0.610 0.261

Results
crystal system = monoclinic
space-group type = C2/m (12)


no.,DFT formation energy (eV/f.u.)
1,-2.388
2,-9.231